Material: CrHgTeF2
Method: DFT, GGA+U
State: relaxed

Summary:
Symmetry   P4/mmm
D(E_F)   2.0 states/eV/f.u.
Energy above the most stable polymorph in this dataset   0 meV/atom

```
CrHgTeF2
1.0
4.0845 0.0000 0.0000
0.0000 4.0845 0.0000
0.0000 0.0000 6.1460
Cr Hg Te F
1 1 1 2
Cartesian
0.0000 0.0000 0.0000
2.0422 2.0422 3.0730
0.0000 0.0000 3.0730
0.0000 2.0422 0.0000
2.0422 0.0000 0.0000
```